Record 1
Ba2IrRhW: relaxed, PBE.

Calculated values
Symmetry: P4/mmm
Fermi-level density of states: 6.5 states/eV/f.u.
DFT formation energy: 7.00 eV/f.u.

Cell and atoms, written as CIF:
```
data_Ba2IrRhW
_chemical_formula_sum 'Ba2 Ir1 Rh1 W1'
_space_group_name_H-M_alt 'P 1'
_space_group_IT_number 1
_space_group_name_Hall 'P 1'
_cell_length_a 5.998
_cell_length_b 4.623
_cell_length_c 5.998
_cell_angle_alpha 90.00
_cell_angle_beta 90.00
_cell_angle_gamma 90.00
loop_
_atom_site_label
_atom_site_type_symbol
_atom_site_fract_x
_atom_site_fract_y
_atom_site_fract_z
Ba1 Ba 0.000 0.000 0.500
Ba2 Ba 0.500 0.000 0.000
Rh1 Rh 0.000 0.500 0.000
W1 W 0.000 0.000 0.000
Ir1 Ir 0.500 0.500 0.500
```


Record 2
Zr2AlRe2: relaxed, PBE.

Calculated values
Symmetry: P4/mbm
Fermi-level density of states: 6.8 states/eV/f.u.
Excess energy over the best structure of this formula in the dataset: 0.000 eV per atom
DFT formation energy: -0.31 eV/f.u.

Cell and atoms, written as CIF:
```
data_Zr2AlRe2
_chemical_formula_sum 'Zr4 Al2 Re4'
_space_group_name_H-M_alt 'P 1'
_space_group_IT_number 1
_space_group_name_Hall 'P 1'
_cell_length_a 6.649
_cell_length_b 6.649
_cell_length_c 4.320
_cell_angle_alpha 90.00
_cell_angle_beta 90.00
_cell_angle_gamma 90.00
loop_
_atom_site_label
_atom_site_type_symbol
_atom_site_fract_x
_atom_site_fract_y
_atom_site_fract_z
Al1 Al 0.500 0.500 0.000
Re1 Re 0.373 0.873 0.000
Zr1 Zr 0.820 0.320 0.500
Al2 Al 0.000 0.000 0.000
Re2 Re 0.127 0.373 0.000
Zr2 Zr 0.180 0.680 0.500
Re3 Re 0.627 0.127 0.000
Zr3 Zr 0.320 0.180 0.500
Re4 Re 0.873 0.627 0.000
Zr4 Zr 0.680 0.820 0.500
```


Record 3
Zn4CuW: relaxed, PBE.

Calculated values
Symmetry: F-43m
Fermi-level density of states: 4.2 states/eV/f.u.
DFT formation energy: 2.49 eV/f.u.

Cell and atoms, written as CIF:
```
data_Zn4CuW
_chemical_formula_sum 'Zn4 Cu1 W1'
_space_group_name_H-M_alt 'P 1'
_space_group_IT_number 1
_space_group_name_Hall 'P 1'
_cell_length_a 4.953
_cell_length_b 4.953
_cell_length_c 4.953
_cell_angle_alpha 60.00
_cell_angle_beta 60.00
_cell_angle_gamma 60.00
loop_
_atom_site_label
_atom_site_type_symbol
_atom_site_fract_x
_atom_site_fract_y
_atom_site_fract_z
Zn1 Zn 0.374 0.374 0.374
Cu1 Cu 0.750 0.750 0.750
Zn2 Zn 0.877 0.374 0.374
Zn3 Zn 0.374 0.877 0.374
Zn4 Zn 0.374 0.374 0.877
W1 W 0.000 0.000 0.000
```


Record 4
AcScCd11: relaxed, PBE.

Calculated values
Symmetry: C2/m
Fermi-level density of states: 5.9 states/eV/f.u.
DFT formation energy: -2.18 eV/f.u.

Cell and atoms, written as CIF:
```
data_AcScCd11
_chemical_formula_sum 'Ac1 Sc1 Cd11'
_space_group_name_H-M_alt 'P 1'
_space_group_IT_number 1
_space_group_name_Hall 'P 1'
_cell_length_a 6.104
_cell_length_b 7.805
_cell_length_c 7.738
_cell_angle_alpha 81.30
_cell_angle_beta 66.77
_cell_angle_gamma 67.45
loop_
_atom_site_label
_atom_site_type_symbol
_atom_site_fract_x
_atom_site_fract_y
_atom_site_fract_z
Cd1 Cd 0.639 0.353 0.349
Cd2 Cd 0.500 0.000 0.500
Cd3 Cd 0.000 0.500 0.000
Cd4 Cd 0.361 0.647 0.651
Cd5 Cd 0.287 0.216 0.218
Sc1 Sc 0.500 0.500 0.000
Cd6 Cd 0.505 0.216 0.782
Ac1 Ac 0.000 0.000 0.000
Cd7 Cd 0.713 0.784 0.782
Cd8 Cd 0.495 0.784 0.218
Cd9 Cd 0.988 0.353 0.651
Cd10 Cd 0.012 0.647 0.349
Cd11 Cd 0.000 0.000 0.500
```


Record 5
MgCr2Cu: relaxed, PBE.

Calculated values
Symmetry: P4/mmm
Fermi-level density of states: 5.1 states/eV/f.u.
DFT formation energy: 2.02 eV/f.u.

Cell and atoms, written as CIF:
```
data_MgCr2Cu
_chemical_formula_sum 'Mg1 Cr2 Cu1'
_space_group_name_H-M_alt 'P 1'
_space_group_IT_number 1
_space_group_name_Hall 'P 1'
_cell_length_a 2.501
_cell_length_b 2.501
_cell_length_c 8.436
_cell_angle_alpha 90.00
_cell_angle_beta 90.00
_cell_angle_gamma 90.00
loop_
_atom_site_label
_atom_site_type_symbol
_atom_site_fract_x
_atom_site_fract_y
_atom_site_fract_z
Cr1 Cr 0.000 0.000 0.483
Cr2 Cr 0.000 0.000 0.017
Mg1 Mg 0.500 0.500 0.750
Cu1 Cu 0.500 0.500 0.250
```


Record 6
LiZn3O: relaxed, PBE.

Calculated values
Symmetry: Pm-3m
E_form (uncorrected): 3.405 eV per formula unit
Fermi-level density of states: 3.8 states/eV/f.u.
Excess energy over the best structure of this formula in the dataset: 0.766 eV per atom

Cell and atoms, written as CIF:
```
data_LiZn3O
_chemical_formula_sum 'Li1 Zn3 O1'
_space_group_name_H-M_alt 'P 1'
_space_group_IT_number 1
_space_group_name_Hall 'P 1'
_cell_length_a 4.422
_cell_length_b 4.422
_cell_length_c 4.422
_cell_angle_alpha 90.00
_cell_angle_beta 90.00
_cell_angle_gamma 90.00
loop_
_atom_site_label
_atom_site_type_symbol
_atom_site_fract_x
_atom_site_fract_y
_atom_site_fract_z
Zn1 Zn 0.000 0.000 0.500
O1 O 0.500 0.500 0.500
Zn2 Zn 0.500 0.000 0.000
Zn3 Zn 0.000 0.500 0.000
Li1 Li 0.000 0.000 0.000
```


Record 7
Dy3CdB: relaxed, PBE.

Calculated values
Symmetry: Pm-3m
Fermi-level density of states: 6.0 states/eV/f.u.
DFT formation energy: -0.51 eV/f.u.

Cell and atoms, written as CIF:
```
data_Dy3CdB
_chemical_formula_sum 'Dy3 Cd1 B1'
_space_group_name_H-M_alt 'P 1'
_space_group_IT_number 1
_space_group_name_Hall 'P 1'
_cell_length_a 5.051
_cell_length_b 5.051
_cell_length_c 5.051
_cell_angle_alpha 90.00
_cell_angle_beta 90.00
_cell_angle_gamma 90.00
loop_
_atom_site_label
_atom_site_type_symbol
_atom_site_fract_x
_atom_site_fract_y
_atom_site_fract_z
Cd1 Cd 0.500 0.500 0.500
B1 B 0.000 0.000 0.000
Dy1 Dy 0.000 0.500 0.000
Dy2 Dy 0.000 0.000 0.500
Dy3 Dy 0.500 0.000 0.000
```


Record 8
Si2NO: relaxed, PBE.

Calculated values
Symmetry: Fm-3m
E_form (uncorrected): 2.482 eV per formula unit
Fermi-level density of states: 1.7 states/eV/f.u.
Excess energy over the best structure of this formula in the dataset: 0.717 eV per atom

Cell and atoms, written as CIF:
```
data_Si2NO
_chemical_formula_sum 'Si2 N1 O1'
_space_group_name_H-M_alt 'P 1'
_space_group_IT_number 1
_space_group_name_Hall 'P 1'
_cell_length_a 3.838
_cell_length_b 3.838
_cell_length_c 3.838
_cell_angle_alpha 60.00
_cell_angle_beta 60.00
_cell_angle_gamma 60.00
loop_
_atom_site_label
_atom_site_type_symbol
_atom_site_fract_x
_atom_site_fract_y
_atom_site_fract_z
Si1 Si 0.750 0.750 0.750
Si2 Si 0.250 0.250 0.250
N1 N 0.000 0.000 0.000
O1 O 0.500 0.500 0.500
```


Record 9
CePa2CoN5: relaxed, PBE.

Calculated values
Symmetry: Cmc2_1
E_form (uncorrected): -9.787 eV per formula unit
Fermi-level density of states: 2.9 states/eV/f.u.

Cell and atoms, written as CIF:
```
data_CePa2CoN5
_chemical_formula_sum 'Ce2 Pa4 Co2 N10'
_space_group_name_H-M_alt 'P 1'
_space_group_IT_number 1
_space_group_name_Hall 'P 1'
_cell_length_a 3.392
_cell_length_b 7.013
_cell_length_c 10.094
_cell_angle_alpha 90.00
_cell_angle_beta 90.00
_cell_angle_gamma 103.99
loop_
_atom_site_label
_atom_site_type_symbol
_atom_site_fract_x
_atom_site_fract_y
_atom_site_fract_z
N1 N 0.045 0.090 0.071
Co1 Co 0.519 0.038 0.957
Ce1 Ce 0.199 0.399 0.998
Co2 Co 0.481 0.962 0.457
Pa1 Pa 0.099 0.199 0.680
Pa2 Pa 0.134 0.267 0.302
N2 N 0.955 0.910 0.571
N3 N 0.350 0.699 0.351
Pa3 Pa 0.901 0.801 0.180
N4 N 0.375 0.749 0.001
Pa4 Pa 0.866 0.733 0.802
N5 N 0.650 0.301 0.851
N6 N 0.625 0.251 0.501
N7 N 0.479 0.958 0.776
Ce2 Ce 0.801 0.601 0.498
N8 N 0.721 0.442 0.187
N9 N 0.521 0.042 0.276
N10 N 0.279 0.558 0.687
```


Record 10
Ac2Si2Pd5: relaxed, PBE.

Calculated values
Symmetry: P4/mmm
E_form (uncorrected): -7.535 eV per formula unit
Fermi-level density of states: 3.6 states/eV/f.u.

Cell and atoms, written as CIF:
```
data_Ac2Si2Pd5
_chemical_formula_sum 'Ac2 Si2 Pd5'
_space_group_name_H-M_alt 'P 1'
_space_group_IT_number 1
_space_group_name_Hall 'P 1'
_cell_length_a 4.461
_cell_length_b 4.461
_cell_length_c 8.989
_cell_angle_alpha 90.00
_cell_angle_beta 90.00
_cell_angle_gamma 90.00
loop_
_atom_site_label
_atom_site_type_symbol
_atom_site_fract_x
_atom_site_fract_y
_atom_site_fract_z
Pd1 Pd 0.500 0.000 0.265
Si1 Si 0.500 0.500 0.143
Pd2 Pd 0.000 0.500 0.735
Ac1 Ac 0.000 0.000 0.000
Pd3 Pd 0.500 0.000 0.735
Pd4 Pd 0.000 0.500 0.265
Ac2 Ac 0.000 0.000 0.500
Si2 Si 0.500 0.500 0.857
Pd5 Pd 0.500 0.500 0.500
```